# 1
First-principles (GGA-PBE) data for crystalline PrSm2Er9 at its relaxed geometry, as listed in Alexandria via LeMat-Bulk.

Lattice parameters (Å, degrees): 5.0104 5.0104 15.0316 90.00 90.00 90.00
Element x y z (fractional)
Pr (0.0000, 0.0000, 0.0000)
Sm (0.0000, 0.0000, 0.3338)
Sm (0.0000, 0.0000, 0.6662)
Er (0.0000, 0.5000, 0.1680)
Er (0.0000, 0.5000, 0.5000)
Er (0.0000, 0.5000, 0.8320)
Er (0.5000, 0.0000, 0.1680)
Er (0.5000, 0.0000, 0.5000)
Er (0.5000, 0.0000, 0.8320)
Er (0.5000, 0.5000, 0.0000)
Er (0.5000, 0.5000, 0.3341)
Er (0.5000, 0.5000, 0.6659)

## Properties
Electronic total energy: -4.582 eV per atom
Crystal system: tetragonal
Relative energy among the computed polymorphs: 0.0000 eV/atom
Formation energy: 25 meV/atom
V: 31.45 A^3/atom
Space group: P4/mmm

# 2
First-principles (GGA-PBE) data for crystalline CaPaPb2O6 at its relaxed geometry, as listed in Alexandria via LeMat-Bulk.

Lattice parameters (Å, degrees): 5.9036 6.2377 10.5062 90.00 124.03 90.00
Element x y z (fractional)
Ca (0.0000, 0.0000, 0.0000)
Ca (0.0000, 0.5000, 0.5000)
Pa (0.5000, 0.0000, 0.5000)
Pa (0.5000, 0.5000, 0.0000)
Pb (0.2582, 0.0398, 0.7501)
Pb (0.2582, 0.4602, 0.2501)
Pb (0.7418, 0.5398, 0.7499)
Pb (0.7418, 0.9602, 0.2499)
O (0.1303, 0.0587, 0.2605)
O (0.1303, 0.4413, 0.7605)
O (0.2506, 0.6731, 0.0588)
O (0.2506, 0.8269, 0.5588)
O (0.4050, 0.2002, 0.0662)
O (0.4050, 0.2998, 0.5662)
O (0.5950, 0.7002, 0.4338)
O (0.5950, 0.7998, 0.9338)
O (0.7494, 0.1731, 0.4412)
O (0.7494, 0.3269, 0.9412)
O (0.8697, 0.5587, 0.2395)
O (0.8697, 0.9413, 0.7395)

## Properties
Electronic total energy: -7.154 eV per atom
Formation energy (no corrections): -2288 meV per atom
Crystal system: monoclinic
V: 16.03 A^3/atom
Space group: P2_1/c